[1]
Na3H3Rh | PBE | relaxed

Summary:
The symmetry is P2_1/m, No. 11.

Cell lengths 6.2663, 4.7730, 6.2742 Å; angles 90.00, 91.19, 90.00 degrees
Sites, in units of the cell vectors:
Na: 0.0907 0.2500 0.3340
Na: 0.3339 0.7500 0.0900
Na: 0.3674 0.7500 0.6319
Na: 0.6326 0.2500 0.3681
Na: 0.6661 0.2500 0.9100
Na: 0.9093 0.7500 0.6660
H: 0.0580 0.7500 0.3311
H: 0.3310 0.2500 0.0571
H: 0.3382 0.2500 0.6626
H: 0.6618 0.7500 0.3374
H: 0.6690 0.7500 0.9429
H: 0.9420 0.2500 0.6689
Rh: 0.1492 0.2500 0.8504
Rh: 0.8508 0.7500 0.1496

=====

[2]
Na5H5Rh | PBE | relaxed

Summary:
The symmetry is C2/m, No. 12.

Cell lengths 6.2746, 6.2746, 8.7943 Å; angles 110.66, 110.66, 33.28 degrees
Sites, in units of the cell vectors:
Na: 0.0000 0.0000 0.0000
Na: 0.3393 0.3393 0.2131
Na: 0.3647 0.3647 0.6391
Na: 0.6353 0.6353 0.3609
Na: 0.6607 0.6607 0.7869
H: 0.0067 0.0067 0.6971
H: 0.1529 0.1529 0.5715
H: 0.5000 0.5000 0.5000
H: 0.8471 0.8471 0.4285
H: 0.9933 0.9933 0.3029
Rh: 0.0000 0.0000 0.5000

=====

[3]
Na3H4Rh | PBE | relaxed

Summary:
The symmetry is Immm, No. 71.

Cell lengths 5.3581, 5.3581, 5.3581 Å; angles 130.31, 118.81, 82.60 degrees
Sites, in units of the cell vectors:
Na: 0.0000 0.0000 0.0000
Na: 0.2611 0.7611 0.5000
Na: 0.7389 0.2389 0.5000
H: 0.1942 0.5000 0.6942
H: 0.2896 0.2896 0.0000
H: 0.7104 0.7104 0.0000
H: 0.8058 0.5000 0.3058
Rh: 0.5000 0.5000 0.0000

=====

[4]
Na2HRh | PBE | relaxed

Summary:
The symmetry is Fm-3m, No. 225. Its distance to the lowest polymorph of the same formula is 717 meV/atom.

Cell lengths 4.6206, 4.6206, 4.6206 Å; angles 60.00, 60.00, 60.00 degrees
Sites, in units of the cell vectors:
Na: 0.2500 0.2500 0.2500
Na: 0.7500 0.7500 0.7500
H: 0.0000 0.0000 0.0000
Rh: 0.5000 0.5000 0.5000

=====

Number 1: DOS at the Fermi energy 1.44 states/eV/f.u., electronic total energy -3.207 eV per atom. Number 2: DOS at the Fermi energy 2.57 states/eV/f.u., electronic total energy -3.004 eV per atom. Number 3: DOS at the Fermi energy 0.19 states/eV/f.u., electronic total energy -3.327 eV per atom. Number 4: DOS at the Fermi energy 4.45 states/eV/f.u., electronic total energy -2.523 eV per atom.